Here is crystalline RbCdF4 at its relaxed geometry from Alexandria. Energies are from GGA-PBE.

abc: 3.8986 3.8986 6.7646
angles: 90.00 90.00 90.00
Closest atoms and distances in Å follow each position.
Fractional positions:
Rb (0.0000, 0.0000, 0.0000)  8 F 2.82
Cd (0.5000, 0.5000, 0.5000)  8 F 2.37
F (0.5000, 0.0000, 0.6985)  2 Cd 2.37
F (0.0000, 0.5000, 0.6985)  2 Cd 2.37
F (0.5000, 0.0000, 0.3015)  2 Cd 2.37
F (0.0000, 0.5000, 0.3015)  2 Cd 2.37

Values from the calculation:
E_form (uncorrected)   -1.95 eV per atom
Total magnetic moment   1.0 Bohr magnetons per cell
DOS(E_F)   0.9584 states/eV/atom
Electronic total energy   -3.5107 eV/atom